# GGA-PBE AlCu2AgAu4, optimized geometry
# magnetic moment: 0.00 μB per cell
# electronic total energy: -3.63 eV/atom
# N(E_F): 7.21 states/eV/cell
data_AlCu2AgAu4
_chemical_formula_sum 'Al3 Cu6 Ag3 Au12'
_cell_length_a 4.5056
_cell_length_b 4.5056
_cell_length_c 22.1158
_cell_angle_alpha 90.00
_cell_angle_beta 90.00
_cell_angle_gamma 120.00
_space_group_name_H-M_alt 'R -3 m'
_space_group_IT_number 166
_space_group_name_Hall '-R 3 2"'
loop_
_atom_site_label
_atom_site_type_symbol
_atom_site_fract_x
_atom_site_fract_y
_atom_site_fract_z
_atom_site_occupancy
Al1 Al 0.0000 0.0000 0.0000 1
Cu1 Cu 0.0000 0.0000 0.2455 1
Ag1 Ag 0.0000 0.0000 0.5000 1
Au1 Au 0.0000 0.0000 0.1176 1
Au2 Au 0.0000 0.0000 0.3692 1